Record 1
An optimized crystal structure of HgIrCl6. Source: Alexandria, functional GGA-PBE.

As for the energy relative to the elements, uncorrected: -446 meV per atom. The energy comes out at -95.24 eV for the cell shown. Its volume is 26.08 A^3/atom. The calculation puts the calculated density at 4.8 Mg/m³. Its density of states at the Fermi level is 0.618 states/eV per atom.

The space group is C2/c (No. 15) and the conventional cell measures 11.303, 7.946 and 9.441 Å, with angles of 90.00, 100.20 and 90.00 degrees. Symmetry generates all atoms from Hg at (0.000, 0.012, 0.250), Ir at (0.250, 0.250, 0.000), Cl at (0.080, 0.301, 0.104), Cl at (0.142, 0.298, 0.773) and Cl at (0.185, 0.030, 0.470).


Record 2
An optimized crystal structure of HgIrCl. Source: Alexandria, functional GGA-PBE.

The offset from the most stable computed form is 0.000 eV/atom. As for the energy relative to the elements, uncorrected: 532 meV per atom. The energy comes out at -37.65 eV for the cell shown. Its volume is 19.27 A^3/atom. The calculation puts the calculated density at 12.3 Mg/m³. Its density of states at the Fermi level is 0.746 states/eV per atom.

The space group is Fmm2 (No. 42) and the conventional cell measures 2.950, 5.500 and 14.252 Å, with angles of 90.00, 90.00 and 90.00 degrees. Symmetry generates all atoms from Hg at (0.000, 0.000, 0.000), Ir at (0.000, 0.000, 0.332) and Cl at (0.000, 0.000, 0.697).


Record 3
An optimized crystal structure of HgIrCl2. Source: Alexandria, functional GGA-PBE.

The offset from the most stable computed form is 0.169 eV/atom. As for the energy relative to the elements, uncorrected: 106 meV per atom. The energy comes out at -37.30 eV for the cell shown. Its volume is 21.64 A^3/atom. The calculation puts the calculated density at 8.9 Mg/m³. Its density of states at the Fermi level is 1.039 states/eV per atom.

The space group is R-3m (No. 166, hexagonal axes) and the conventional cell measures 3.0265, 3.0265 and 32.7403 Å, with angles of 90.00, 90.00 and 120.00 degrees. Symmetry generates all atoms from Hg at (0.0000, 0.0000, 0.0000), Ir at (0.0000, 0.0000, 0.5000) and Cl at (0.0000, 0.0000, 0.4322).


Record 4
An optimized crystal structure of HgIrCl2. Source: Alexandria, functional GGA-PBE.

The offset from the most stable computed form is 0.929 eV/atom. As for the energy relative to the elements, uncorrected: 866 meV per atom. The energy comes out at -37.56 eV for the cell shown. Its volume is 19.64 A^3/atom. The calculation puts the calculated density at 9.8 Mg/m³. Its density of states at the Fermi level is 0.703 states/eV per atom.

The space group is Fm-3m (No. 225) and the conventional cell measures 6.799, 6.799 and 6.799 Å, with angles of 90.00, 90.00 and 90.00 degrees. Symmetry generates all atoms from Hg at (0.000, 0.000, 0.000), Ir at (0.000, 0.000, 0.500) and Cl at (0.250, 0.250, 0.250).


Record 5
An optimized crystal structure of HgIrCl2. Source: Alexandria, functional GGA-PBE.

The offset from the most stable computed form is 0.400 eV/atom. As for the energy relative to the elements, uncorrected: 337 meV per atom. The energy comes out at -11.51 eV for the cell shown. Its volume is 27.82 A^3/atom. The calculation puts the calculated density at 6.9 Mg/m³. Its density of states at the Fermi level is 0.413 states/eV per atom.

The space group is Pmm2 (No. 25) and the conventional cell measures 2.742, 4.521 and 8.979 Å, with angles of 90.00, 90.00 and 90.00 degrees. Symmetry generates all atoms from Hg at (0.000, 0.000, 0.000), Ir at (0.500, 0.500, 0.885), Cl at (0.000, 0.000, 0.306) and Cl at (0.500, 0.500, 0.640).


Record 6
An optimized crystal structure of Hg2IrCl8. Source: Alexandria, functional GGA-PBE.

As for the energy relative to the elements, uncorrected: -481 meV per atom. The energy comes out at -59.06 eV for the cell shown. Its volume is 32.54 A^3/atom. The calculation puts the calculated density at 4.1 Mg/m³. Its density of states at the Fermi level is 0.478 states/eV per atom.

The space group is C2/m (No. 12) and the conventional cell measures 15.556, 7.014 and 6.569 Å, with angles of 90.00, 92.68 and 90.00 degrees. Symmetry generates all atoms from Hg at (0.167, 0.000, 0.121), Ir at (0.000, 0.000, 0.500), Cl at (0.055, 0.228, 0.281), Cl at (0.131, 0.000, 0.682) and Cl at (0.184, 0.500, 0.937).


Record 7
An optimized crystal structure of HgIrCl2. Source: Alexandria, functional GGA-PBE.

The offset from the most stable computed form is 0.920 eV/atom. As for the energy relative to the elements, uncorrected: 857 meV per atom. The energy comes out at -18.85 eV for the cell shown. Its volume is 19.41 A^3/atom. The calculation puts the calculated density at 9.9 Mg/m³. Its density of states at the Fermi level is 1.150 states/eV per atom.

The space group is Cmmm (No. 65) and the conventional cell measures 5.940, 8.065 and 3.242 Å, with angles of 90.00, 90.00 and 90.00 degrees. Symmetry generates all atoms from Hg at (0.000, 0.000, 0.000), Ir at (0.000, 0.500, 0.000) and Cl at (0.250, 0.250, 0.500).


Record 8
An optimized crystal structure of HgIrCl2. Source: Alexandria, functional GGA-PBE.

The offset from the most stable computed form is 0.131 eV/atom. As for the energy relative to the elements, uncorrected: 68 meV per atom. The energy comes out at -25.17 eV for the cell shown. Its volume is 30.11 A^3/atom. The calculation puts the calculated density at 6.4 Mg/m³. Its density of states at the Fermi level is 0.676 states/eV per atom.

The space group is Cmmm (No. 65) and the conventional cell measures 3.466, 6.734 and 10.321 Å, with angles of 90.00, 90.00 and 90.00 degrees. Symmetry generates all atoms from Hg at (0.000, 0.000, 0.000), Ir at (0.000, 0.000, 0.500) and Cl at (0.000, 0.500, 0.350).


Record 9
An optimized crystal structure of HgIrCl2. Source: Alexandria, functional GGA-PBE.

The offset from the most stable computed form is 0.689 eV/atom. As for the energy relative to the elements, uncorrected: 626 meV per atom. The energy comes out at -10.35 eV for the cell shown. Its volume is 19.42 A^3/atom. The calculation puts the calculated density at 9.9 Mg/m³. Its density of states at the Fermi level is 0.880 states/eV per atom.

The space group is Pmmm (No. 47) and the conventional cell measures 3.089, 4.367 and 5.757 Å, with angles of 90.00, 90.00 and 90.00 degrees. Symmetry generates all atoms from Hg at (0.000, 0.000, 0.000), Ir at (0.500, 0.000, 0.500), Cl at (0.000, 0.500, 0.500) and Cl at (0.500, 0.500, 0.000).


Record 10
An optimized crystal structure of HgIrCl. Source: Alexandria, functional GGA-PBE.

The offset from the most stable computed form is 0.325 eV/atom. As for the energy relative to the elements, uncorrected: 857 meV per atom. The energy comes out at -33.75 eV for the cell shown. Its volume is 21.94 A^3/atom. The calculation puts the calculated density at 10.8 Mg/m³. Its density of states at the Fermi level is 1.242 states/eV per atom.

The space group is F-43m (No. 216) and the conventional cell measures 6.409, 6.409 and 6.409 Å, with angles of 90.00, 90.00 and 90.00 degrees. Symmetry generates all atoms from Hg at (0.000, 0.000, 0.000), Ir at (0.250, 0.250, 0.750) and Cl at (0.000, 0.000, 0.500).


Record 11
An optimized crystal structure of HgIrCl2. Source: Alexandria, functional GGA-PBE.

The offset from the most stable computed form is 0.000 eV/atom. As for the energy relative to the elements, uncorrected: -63 meV per atom. The energy comes out at -13.11 eV for the cell shown. Its volume is 25.99 A^3/atom. The calculation puts the calculated density at 7.4 Mg/m³. Its density of states at the Fermi level is 0.270 states/eV per atom.

The space group is P2/m (No. 10) and the conventional cell measures 3.078, 3.504 and 9.639 Å, with angles of 90.00, 90.08 and 90.00 degrees. Symmetry generates all atoms from Hg at (0.000, 0.000, 0.000), Ir at (0.500, 0.000, 0.500) and Cl at (0.500, 0.500, 0.341).


Record 12
An optimized crystal structure of HgIrCl2. Source: Alexandria, functional GGA-PBE.

The offset from the most stable computed form is 0.606 eV/atom. As for the energy relative to the elements, uncorrected: 543 meV per atom. The energy comes out at -10.68 eV for the cell shown. Its volume is 24.37 A^3/atom. The calculation puts the calculated density at 7.9 Mg/m³. Its density of states at the Fermi level is 0.615 states/eV per atom.

The space group is P4/mmm (No. 123) and the conventional cell measures 3.163, 3.163 and 9.740 Å, with angles of 90.00, 90.00 and 90.00 degrees. Symmetry generates all atoms from Hg at (0.000, 0.000, 0.000), Ir at (0.000, 0.000, 0.500) and Cl at (0.500, 0.500, 0.337).


What is the calculated density in the sixth record?
4.1 Mg/m³


What is the calculated density in the third record?
8.9 Mg/m³


What is the formula in the first record?
HgIrCl6


Among the records above, which one has the highest calculated density?
number 2